Record 1
DFT (GGA-PBE) results for an optimized crystal structure of La4Pm2Pr3. Values from VASP.

Crystal system: monoclinic
E_form in eV per atom: 0.0126
Offset from the most stable computed form in meV per atom: 0.0
Total magnetic moment in μB/f.u.: 0.00
V in Å³/atom: 36.14
DFT total energy in eV/atom: -4.826

Cell and atoms, written as Quantum ESPRESSO input:
```
&SYSTEM
  ibrav = 0, nat = 9, ntyp = 3
/
ATOMIC_SPECIES
La 138.91 La.upf
Pm 145.00 Pm.upf
Pr 140.91 Pr.upf
ATOMIC_POSITIONS angstrom
La -3.593 -0.439 -0.787
La -6.175 0.796 1.576
La -5.143 2.501 4.721
La -2.562 1.266 2.358
Pm -1.051 4.626 2.220
Pm -7.686 -2.564 1.714
Pr -4.639 4.186 1.428
Pr -4.098 -2.124 2.506
Pr 0.000 0.000 0.000
CELL_PARAMETERS angstrom
-3.123 1.237 -4.057
-5.598 -5.504 2.630
-0.016 6.328 5.361
```

Record 2
DFT (GGA-PBE) results for an optimized crystal structure of TaSn2BrF. Values from VASP.

Crystal system: tetragonal
Total magnetic moment in μB/f.u.: 0.00
V in Å³/atom: 29.35
DFT total energy in eV/atom: -4.754

Cell and atoms, written as Quantum ESPRESSO input:
```
&SYSTEM
  ibrav = 0, nat = 5, ntyp = 4
/
ATOMIC_SPECIES
F 19.00 F.upf
Sn 118.71 Sn.upf
Br 79.90 Br.upf
Ta 180.95 Ta.upf
ATOMIC_POSITIONS angstrom
F 2.722 2.475 2.722
Sn 0.000 0.000 2.722
Sn 2.722 0.000 0.000
Br 0.000 2.475 0.000
Ta 0.000 0.000 0.000
CELL_PARAMETERS angstrom
5.444 0.000 0.000
0.000 4.951 0.000
0.000 0.000 5.444
```

Record 3
DFT (GGA-PBE) results for an optimized crystal structure of SiBiIrAu. Values from VASP.

Crystal system: monoclinic
Offset from the most stable computed form in meV per atom: 67.2
Total magnetic moment in μB/f.u.: 0.00
V in Å³/atom: 20.68
DFT total energy in eV/atom: -5.418

Cell and atoms, written as Quantum ESPRESSO input:
```
&SYSTEM
  ibrav = 0, nat = 8, ntyp = 4
/
ATOMIC_SPECIES
Si 28.09 Si.upf
Ir 192.22 Ir.upf
Au 196.97 Au.upf
Bi 208.98 Bi.upf
ATOMIC_POSITIONS angstrom
Si -0.134 0.000 2.954
Si -0.797 1.803 6.820
Ir 0.171 0.000 0.576
Ir -0.492 1.803 4.442
Au 0.994 0.000 6.294
Au 1.657 1.803 2.428
Bi 3.140 0.000 4.357
Bi 3.803 1.803 0.491
CELL_PARAMETERS angstrom
5.937 0.000 -0.016
0.000 3.606 0.000
-1.326 0.000 7.732
```

Record 4
DFT (GGA-PBE) results for an optimized crystal structure of Si2Se. Values from VASP.

Crystal system: hexagonal
Offset from the most stable computed form in meV per atom: 787.0
Total magnetic moment in μB/f.u.: 0.00
V in Å³/atom: 19.78
DFT total energy in eV/atom: -4.158

Cell and atoms, written as Quantum ESPRESSO input:
```
&SYSTEM
  ibrav = 0, nat = 9, ntyp = 2
/
ATOMIC_SPECIES
Si 28.09 Si.upf
Se 78.96 Se.upf
ATOMIC_POSITIONS angstrom
Si -2.072 0.316 -0.335
Si 1.275 -0.494 -1.624
Si -2.113 -0.471 -5.191
Si -4.202 -1.069 -0.359
Si 2.104 -2.595 -2.787
Si -1.706 -1.978 -3.186
Se 0.580 -0.817 -4.359
Se -3.491 0.168 -2.791
Se -0.298 -1.664 0.272
CELL_PARAMETERS angstrom
-7.562 1.153 -1.223
4.652 -1.802 -5.927
-0.596 -3.329 0.545
```

Record 5
DFT (GGA-PBE) results for an optimized crystal structure of TaInHBr2. Values from VASP.

Crystal system: tetragonal
Total magnetic moment in μB/f.u.: 2.92
V in Å³/atom: 21.05
DFT total energy in eV/atom: -3.552

Cell and atoms, written as Quantum ESPRESSO input:
```
&SYSTEM
  ibrav = 0, nat = 5, ntyp = 4
/
ATOMIC_SPECIES
H 1.01 H.upf
In 114.82 In.upf
Br 79.90 Br.upf
Ta 180.95 Ta.upf
ATOMIC_POSITIONS angstrom
H 0.000 0.000 0.000
In 0.000 1.762 0.000
Br 0.000 0.000 2.733
Br 2.733 0.000 0.000
Ta 2.733 1.762 2.733
CELL_PARAMETERS angstrom
5.465 0.000 0.000
0.000 3.523 0.000
0.000 0.000 5.465
```

Record 6
DFT (GGA-PBE) results for an optimized crystal structure of Nd2PuGe3Rh4. Values from VASP.

Crystal system: tetragonal
E_form in eV per atom: -0.8037
Total magnetic moment in μB/f.u.: 4.85
V in Å³/atom: 19.71
DFT total energy in eV/atom: -7.516

Cell and atoms, written as Quantum ESPRESSO input:
```
&SYSTEM
  ibrav = 0, nat = 10, ntyp = 4
/
ATOMIC_SPECIES
Nd 144.24 Nd.upf
Pu 244.00 Pu.upf
Ge 72.64 Ge.upf
Rh 102.91 Rh.upf
ATOMIC_POSITIONS angstrom
Nd -1.051 2.564 1.796
Nd -4.864 1.372 7.062
Pu -4.042 2.817 3.835
Ge -1.872 1.120 5.022
Ge -3.473 4.013 8.293
Ge -2.442 -0.076 0.564
Rh -2.170 1.697 -1.187
Rh 0.000 0.000 0.000
Rh -2.628 3.508 6.028
Rh -3.286 0.429 2.829
CELL_PARAMETERS angstrom
-0.371 4.093 -1.051
-3.969 -0.699 -1.324
-3.744 2.239 10.045
```

Record 7
DFT (GGA-PBE) results for an optimized crystal structure of HoGa2Si2Pt7. Values from VASP.

Crystal system: monoclinic
Total magnetic moment in μB/f.u.: 0.00
V in Å³/atom: 18.10
DFT total energy in eV/atom: -5.996

Cell and atoms, written as Quantum ESPRESSO input:
```
&SYSTEM
  ibrav = 0, nat = 12, ntyp = 4
/
ATOMIC_SPECIES
Ho 164.93 Ho.upf
Ga 69.72 Ga.upf
Si 28.09 Si.upf
Pt 195.08 Pt.upf
ATOMIC_POSITIONS angstrom
Ho 0.000 0.000 0.000
Ga -0.199 -8.226 0.614
Ga 3.348 -6.921 3.584
Si 2.765 -10.675 3.435
Si 0.384 -4.471 0.763
Pt -1.509 -2.060 -1.120
Pt 1.497 -6.165 1.897
Pt 1.652 -8.982 2.301
Pt -2.000 -4.483 0.535
Pt -0.175 -4.683 -1.556
Pt 3.324 -10.463 5.754
Pt 5.149 -10.664 3.663
CELL_PARAMETERS angstrom
-3.333 -1.859 0.970
0.315 -2.260 -3.210
6.167 -11.027 6.438
```

Record 8
DFT (GGA-PBE) results for an optimized crystal structure of Tm2ZnSi2. Values from VASP.

Crystal system: orthorhombic
Total magnetic moment in μB/f.u.: 0.00
V in Å³/atom: 19.57
DFT total energy in eV/atom: -4.833

Cell and atoms, written as Quantum ESPRESSO input:
```
&SYSTEM
  ibrav = 0, nat = 5, ntyp = 3
/
ATOMIC_SPECIES
Tm 168.93 Tm.upf
Zn 65.41 Zn.upf
Si 28.09 Si.upf
ATOMIC_POSITIONS angstrom
Tm -3.135 -5.354 5.953
Tm -0.862 -2.113 2.271
Zn 0.000 0.000 0.000
Si -2.175 -4.567 3.270
Si -1.823 -2.900 4.954
CELL_PARAMETERS angstrom
-3.670 -0.741 1.500
-0.577 -5.321 1.383
0.250 -1.405 5.341
```